(1)
This record from the Alexandria database describes a relaxed structure of SnPPd3. The functional is GGA-PBE.

abc: 7.168 7.168 8.615
angles: 120.64 120.64 27.38
Sites, in units of the cell vectors:
Sn 0.164 0.164 0.037
Sn 0.836 0.836 0.963
P 0.396 0.396 0.554
P 0.604 0.604 0.446
Pd 0.056 0.056 0.224
Pd 0.243 0.243 0.634
Pd 0.399 0.399 0.279
Pd 0.601 0.601 0.721
Pd 0.757 0.757 0.366
Pd 0.944 0.944 0.776

Results
**M_tot**: 0.00 μB/f.u.
**Energy of formation from the pure elements**: -2.1 eV/f.u.
**Crystal system**: monoclinic

---

(2)
This record from the Alexandria database describes a relaxed structure of TaV3Mo4. The functional is GGA-PBE.

abc: 3.115 4.439 8.768
angles: 90.00 90.00 90.00
Sites, in units of the cell vectors:
Ta 0.000 0.000 0.000
V 0.000 0.000 0.500
V 0.000 0.500 0.255
V 0.000 0.500 0.745
Mo 0.500 0.000 0.260
Mo 0.500 0.000 0.740
Mo 0.500 0.500 0.000
Mo 0.500 0.500 0.500

Results
**M_tot**: 0.00 μB/f.u.
**Energy of formation from the pure elements**: -1.0 eV/f.u.
**Crystal system**: orthorhombic

---

(3)
This record from the Alexandria database describes a relaxed structure of MgHg6. The functional is GGA-PBE.

abc: 7.278 7.278 7.278
angles: 109.47 109.47 109.47
Sites, in units of the cell vectors:
Mg 0.000 0.000 0.000
Hg 0.250 0.500 0.750
Hg 0.250 0.750 0.500
Hg 0.500 0.250 0.750
Hg 0.500 0.750 0.250
Hg 0.750 0.250 0.500
Hg 0.750 0.500 0.250

Results
**M_tot**: 0.00 μB/f.u.
**Energy of formation from the pure elements**: 1.9 eV/f.u.
**Crystal system**: cubic

---

(4)
This record from the Alexandria database describes a relaxed structure of Ba4Te5Pb. The functional is GGA-PBE.

abc: 17.836 17.836 17.836
angles: 164.06 164.06 22.62
Sites, in units of the cell vectors:
Ba 0.098 0.098 0.000
Ba 0.301 0.301 0.000
Ba 0.699 0.699 0.000
Ba 0.902 0.902 0.000
Te 0.000 0.000 0.000
Te 0.200 0.200 0.000
Te 0.404 0.404 0.000
Te 0.596 0.596 0.000
Te 0.800 0.800 0.000
Pb 0.500 0.500 0.000

Results
**M_tot**: 0.00 μB/f.u.
**Formation energy from raw total energies**: -14.92 eV/f.u.
**Crystal system**: tetragonal

---

(5)
This record from the Alexandria database describes a relaxed structure of CuPt3Se. The functional is GGA-PBE.

abc: 4.670 4.670 4.670
angles: 90.00 90.00 90.00
Sites, in units of the cell vectors:
Cu 0.000 0.000 0.000
Pt 0.000 0.500 0.500
Pt 0.500 0.000 0.500
Pt 0.500 0.500 0.000
Se 0.500 0.500 0.500

Results
**M_tot**: 0.00 μB/f.u.
**Formation energy from raw total energies**: 3.68 eV/f.u.
**Crystal system**: cubic

---

(6)
This record from the Alexandria database describes a relaxed structure of LiCa2Y. The functional is GGA-PBE.

abc: 5.761 5.761 5.761
angles: 60.00 60.00 60.00
Sites, in units of the cell vectors:
Li 0.000 0.000 0.000
Ca 0.500 0.500 0.500
Ca 0.750 0.750 0.750
Y 0.250 0.250 0.250

Results
**M_tot**: 0.00 μB/f.u.
**Energy of formation from the pure elements**: 0.8 eV/f.u.
**Crystal system**: cubic

---

(7)
This record from the Alexandria database describes a relaxed structure of Ac2AlPb3. The functional is GGA-PBE.

abc: 4.538 4.702 9.479
angles: 90.00 90.00 90.00
Sites, in units of the cell vectors:
Ac 0.000 0.000 0.000
Ac 0.000 0.500 0.460
Al 0.500 0.000 0.315
Pb 0.500 0.000 0.615
Pb 0.500 0.500 0.157
Pb 0.500 0.500 0.821

Results
**M_tot**: 0.00 μB/f.u.
**Energy of formation from the pure elements**: -2.0 eV/f.u.
**Crystal system**: orthorhombic

---

(8)
This record from the Alexandria database describes a relaxed structure of Y2AlSnPd6. The functional is GGA-PBE.

abc: 6.440 6.440 7.801
angles: 125.46 125.46 50.85
Sites, in units of the cell vectors:
Y 0.001 0.001 0.251
Y 0.999 0.999 0.749
Al 0.500 0.500 0.500
Sn 0.500 0.500 0.000
Pd 0.014 0.508 0.199
Pd 0.318 0.318 0.562
Pd 0.492 0.986 0.801
Pd 0.508 0.014 0.199
Pd 0.682 0.682 0.438
Pd 0.986 0.492 0.801

Results
**M_tot**: 0.00 μB/f.u.
**Energy of formation from the pure elements**: -7.1 eV/f.u.
**Crystal system**: monoclinic

---

(9)
This record from the Alexandria database describes a relaxed structure of Zr2Se3S. The functional is GGA-PBE.

abc: 8.013 8.013 11.249
angles: 102.03 102.03 27.92
Sites, in units of the cell vectors:
Zr 0.079 0.079 0.283
Zr 0.376 0.376 0.061
Zr 0.624 0.624 0.939
Zr 0.921 0.921 0.717
Se 0.099 0.099 0.759
Se 0.205 0.205 0.107
Se 0.372 0.372 0.563
Se 0.628 0.628 0.437
Se 0.795 0.795 0.893
Se 0.901 0.901 0.241
S 0.455 0.455 0.877
S 0.545 0.545 0.123

Results
**M_tot**: 0.00 μB/f.u.
**Formation energy from raw total energies**: -7.43 eV/f.u.
**Crystal system**: monoclinic

---

(10)
This record from the Alexandria database describes a relaxed structure of InNiCl2. The functional is GGA-PBE.

abc: 3.673 3.673 8.562
angles: 90.00 90.00 125.17
Sites, in units of the cell vectors:
In 0.000 0.000 0.000
Ni 0.000 0.000 0.500
Cl 0.500 0.500 0.316
Cl 0.500 0.500 0.684

Results
**M_tot**: 1.25 μB/f.u.
**Formation energy from raw total energies**: -1.41 eV/f.u.
**Crystal system**: orthorhombic

---

(11)
This record from the Alexandria database describes a relaxed structure of B2C. The functional is GGA-PBE.

abc: 4.091 2.547 8.822
angles: 90.00 90.75 90.00
Sites, in units of the cell vectors:
B 0.000 0.000 0.000
B 0.011 0.000 0.681
B 0.327 0.000 0.558
B 0.387 0.500 0.201
B 0.511 0.500 0.455
B 0.661 0.500 0.682
B 0.715 0.500 0.952
B 0.892 0.000 0.263
C 0.201 0.000 0.158
C 0.215 0.000 0.841
C 0.431 0.500 0.839
C 0.708 0.500 0.308

Results
**M_tot**: 0.00 μB/f.u.
**Energy of formation from the pure elements**: 1.3 eV/f.u.
**Crystal system**: monoclinic

---

(12)
This record from the Alexandria database describes a relaxed structure of K2YInBr. The functional is GGA-PBE.

abc: 5.928 5.928 5.721
angles: 90.00 90.00 90.00
Sites, in units of the cell vectors:
K 0.000 0.500 0.000
K 0.500 0.000 0.000
Y 0.000 0.000 0.500
In 0.500 0.500 0.500
Br 0.000 0.000 0.000

Results
**M_tot**: 1.26 μB/f.u.
**Formation energy from raw total energies**: -0.85 eV/f.u.
**Crystal system**: tetragonal

---

no.,uncorrected energy (eV/atom)
1,-5.418
2,-10.442
3,-0.208
4,-4.203
5,-4.405
6,-2.888
7,-4.175
8,-5.891
9,-6.518
10,-3.406
11,-7.098
12,-2.784